No. 1
PBEsol LiMnNi2, optimized geometry; formation enthalpy at 0 K = 152 meV/atom
1.0
-2.477 -2.287 2.123
0.670 -0.592 3.882
-2.406 1.653 2.711
Ni Mn Li
2 1 1
Direct
0.750 0.750 0.750 Ni
0.000 0.000 0.000 Ni
0.250 0.250 0.250 Mn
0.500 0.500 0.500 Li



No. 2
PBEsol YZnP2O, optimized geometry; formation energy from raw total energies = -0.35 eV per atom
1.0
-3.256 -1.305 -1.540
-1.662 -0.897 4.272
-1.816 4.299 0.196
Y Zn P O
1 1 2 1
Direct
0.500 0.500 0.500 Y
0.000 0.000 0.000 Zn
0.000 0.000 0.500 P
0.000 0.500 0.000 P
0.500 0.000 0.000 O